(a)
A relaxed ThInPb crystal, computed with GGA-PBE.

Calculated values
SG: I4mm, No. 107

a = 3.851 Å, b = 3.851 Å, c = 6.460 Å
α = 107.34°, β = 107.34°, γ = 90.00°
Fractional coordinates of all 3 atoms:
Pb 0.935 0.935 0.869
Th 0.621 0.621 0.243
In 0.294 0.294 0.588



(b)
A relaxed ThInPb crystal, computed with GGA-PBE.

Calculated values
SG: Cmcm, No. 63

a = 4.730 Å, b = 6.166 Å, c = 6.600 Å
α = 90.00°, β = 90.00°, γ = 112.55°
Fractional coordinates of all 6 atoms:
Pb 0.148 0.297 0.750
Pb 0.852 0.703 0.250
Th 0.149 0.298 0.250
Th 0.851 0.702 0.750
In 0.500 0.000 0.500
In 0.500 0.000 0.000



(c)
A relaxed ThInPb crystal, computed with GGA-PBE.

Calculated values
SG: P3m1, No. 156

a = 3.431 Å, b = 5.414 Å, c = 5.414 Å
α = 120.00°, β = 90.00°, γ = 90.00°
Fractional coordinates of all 3 atoms:
In 0.163 0.000 0.000
Th 0.667 0.667 0.333
Pb 0.170 0.333 0.667



What should be chosen as the most stable of them? Choose (b).



(a)
A relaxed TiInPb3 crystal, computed with GGA-PBE.

Calculated values
SG: Pm-3m, No. 221

a = 5.650 Å, b = 5.650 Å, c = 5.650 Å
α = 90.00°, β = 90.00°, γ = 90.00°
Fractional coordinates of all 5 atoms:
Ti 0.500 0.500 0.500
In 0.000 0.000 0.000
Pb 0.500 0.000 0.000
Pb 0.000 0.500 0.000
Pb 0.000 0.000 0.500



(b)
A relaxed TiInPb3 crystal, computed with GGA-PBE.

Calculated values
SG: Pm-3m, No. 221

a = 5.450 Å, b = 5.450 Å, c = 5.450 Å
α = 90.00°, β = 90.00°, γ = 90.00°
Fractional coordinates of all 5 atoms:
In 0.500 0.500 0.500
Ti 0.000 0.000 0.000
Pb 0.000 0.000 0.500
Pb 0.000 0.500 0.000
Pb 0.500 0.000 0.000



What should be chosen as the most stable of them? Choose (b).